[1]
RbCeOsO6 | Alexandria via LeMat-Bulk | PBE | optimized geometry; volume = 323.64 Å³ per cell; crystal system = orthorhombic; ΔE_f (raw) = -1867 meV per atom
1.0
-1.333 -2.268 7.449
2.164 -6.943 -1.727
4.748 5.888 -1.546
O Rb Os Ce
12 2 2 2
Cartesian
1.480 -4.834 4.398
2.190 1.445 5.021
0.119 -2.809 3.355
0.303 -1.056 5.338
3.389 -4.769 -0.846
4.099 1.510 -0.222
4.826 -3.034 1.355
0.753 -0.289 2.821
1.931 -4.067 1.881
3.649 0.744 2.295
5.460 -0.514 0.821
5.277 -2.268 -1.162
1.909 -1.396 -0.083
3.670 -1.927 4.259
0.415 -4.606 2.861
-0.667 -1.134 3.725
1.708 1.810 2.951
2.374 2.944 -0.773

=====

[2]
Rb2Zn2CrS4 | Alexandria via LeMat-Bulk | PBE | optimized geometry; volume = 217.12 Å³ per cell; crystal system = monoclinic; ΔE_f (raw) = -868 meV per atom
1.0
-3.561 -1.107 -0.563
2.445 -6.200 -3.270
1.053 -1.115 8.170
S Cr Rb Zn
4 1 2 2
Cartesian
-0.219 -2.752 6.801
0.156 -5.671 -2.465
-0.203 -6.514 1.466
0.140 -1.908 2.870
0.000 0.000 0.000
1.112 -3.682 0.208
-1.175 -4.740 4.129
-0.468 -1.111 5.149
0.405 -7.311 -0.813

=====

[3]
SiBiTe2N | Alexandria via LeMat-Bulk | PBE | optimized geometry; E above lowest polymorph = 0.0 meV/atom; volume = 121.34 Å³ per cell; crystal system = tetragonal; ΔE_f (raw) = 218 meV per atom
1.0
-2.413 -4.068 3.887
5.592 -2.201 1.168
0.328 2.121 2.424
N Te Bi Si
1 2 1 1
Cartesian
0.164 1.061 1.212
-1.206 -2.034 1.943
2.796 -1.100 0.584
1.754 -2.074 3.739
0.000 0.000 0.000

=====

[4]
Be3Zn | Alexandria via LeMat-Bulk | PBE | optimized geometry; volume = 39.60 Å³ per cell; raw total energy = -2.88 eV per atom; crystal system = monoclinic
1.0
3.787 0.000 0.000
0.000 2.442 0.004
0.000 0.188 4.281
Be Zn
3 1
Cartesian
0.000 2.579 4.187
1.894 1.972 3.214
0.000 1.366 2.240
1.894 0.657 1.071